[1]
## Sr3CdNi (meta-GGA SCAN)

Data for Sr3CdNi at its PBEsol-relaxed geometry.

Summary:
VASP energy ... -113.46 eV per formula unit
ΔE_f ... -0.01 eV/atom
D(E_F) ... 0.52 states/eV/atom
Volume ... 35.58 Å³/atom

Cell lengths 5.624, 5.624, 5.624 Å; angles 90.00, 90.00, 90.00 degrees
Fractional coordinates of all 5 atoms:
Sr 0.000 0.000 0.500
Sr 0.000 0.500 0.000
Sr 0.500 0.000 0.000
Cd 0.500 0.500 0.500
Ni 0.000 0.000 0.000

---

[2]
## Sr2CdNi (meta-GGA SCAN)

Data for Sr2CdNi at its PBEsol-relaxed geometry.

Summary:
VASP energy ... -91.54 eV per formula unit
ΔE_f ... -0.10 eV/atom
D(E_F) ... 0.55 states/eV/atom
Volume ... 29.19 Å³/atom

Cell lengths 4.477, 6.194, 6.194 Å; angles 42.82, 90.00, 90.00 degrees
Fractional coordinates of all 4 atoms:
Sr 0.000 0.000 0.000
Sr 0.500 0.285 0.285
Cd 0.500 0.585 0.585
Ni 0.000 0.700 0.700